Compound: Ho4CuTe3
Source: Alexandria via LeMat-Bulk
Functional: GGA-PBE
Structure: optimized geometry

Output
Size of the total moment, μB per atom: 0.0000
Symmetry: No. 65
Raw formation energy, kcal/mol of atoms: -23.1

a = 7.5099 Å, b = 7.5099 Å, c = 4.1395 Å
α = 90.00°, β = 90.00°, γ = 107.97°
Last column: nearest neighbours and their distance in Å.
Sites, in units of the cell vectors:
1 Ho 0.2194 0.2194 0.5000  2 Cu 2.84, 2 Te 3.05
2 Ho 0.2352 0.7648 0.0000  1 Cu 2.86, 4 Te 3.03
3 Ho 0.7648 0.2352 0.0000  1 Cu 2.86, 4 Te 3.03
4 Ho 0.7806 0.7806 0.5000  2 Cu 2.84, 2 Te 3.05
5 Cu 0.0000 0.0000 0.0000  6 Ho 2.84-2.86
6 Te 0.0000 0.5000 0.5000  6 Ho 3.03-3.05
7 Te 0.5000 0.0000 0.5000  6 Ho 3.03-3.05
8 Te 0.5000 0.5000 0.0000  6 Ho 3.22-3.23


Compound: Ho5Cu2Te2
Source: Alexandria via LeMat-Bulk
Functional: GGA-PBE
Structure: optimized geometry

Output
Size of the total moment, μB per atom: 0.0000
Symmetry: No. 64
Raw formation energy, kcal/mol of atoms: -15.7

a = 8.6031 Å, b = 8.6031 Å, c = 7.7185 Å
α = 90.00°, β = 90.00°, γ = 53.98°
Last column: nearest neighbours and their distance in Å.
Sites, in units of the cell vectors:
1 Ho 0.0000 0.0000 0.0000  4 Cu 3.06, 2 Te 3.17
2 Ho 0.0410 0.7170 0.6603  3 Cu 2.90-2.97, 3 Te 3.18-3.20
3 Ho 0.2170 0.5410 0.1603  3 Cu 2.90-2.97, 3 Te 3.18-3.20
4 Ho 0.2830 0.9590 0.6603  3 Cu 2.90-2.97, 3 Te 3.18-3.20
5 Ho 0.4590 0.7830 0.1603  3 Cu 2.90-2.97, 3 Te 3.18-3.20
6 Ho 0.5000 0.5000 0.5000  4 Cu 3.06, 2 Te 3.17
7 Ho 0.5410 0.2170 0.8397  3 Cu 2.90-2.97, 3 Te 3.18-3.20
8 Ho 0.7170 0.0410 0.3397  3 Cu 2.90-2.97, 3 Te 3.18-3.20
9 Ho 0.7830 0.4590 0.8397  3 Cu 2.90-2.97, 3 Te 3.18-3.20
10 Ho 0.9590 0.2830 0.3397  3 Cu 2.90-2.97, 3 Te 3.18-3.20
11 Cu 0.1288 0.8712 0.3740  1 Cu 2.80, 8 Ho 2.90-3.06
12 Cu 0.3712 0.6288 0.8740  1 Cu 2.80, 8 Ho 2.90-3.06
13 Cu 0.6288 0.3712 0.1260  1 Cu 2.80, 8 Ho 2.90-3.06
14 Cu 0.8712 0.1288 0.6260  1 Cu 2.80, 8 Ho 2.90-3.06
15 Te 0.2068 0.2068 0.0000  7 Ho 3.17-3.20
16 Te 0.2932 0.2932 0.5000  7 Ho 3.17-3.20
17 Te 0.7068 0.7068 0.5000  7 Ho 3.17-3.20
18 Te 0.7932 0.7932 0.0000  7 Ho 3.17-3.20


Compound: Ho4CuTe2
Source: Alexandria via LeMat-Bulk
Functional: GGA-PBE
Structure: optimized geometry

Output
Size of the total moment, μB per atom: 0.0000
Symmetry: No. 12
Raw formation energy, kcal/mol of atoms: -16.5

a = 7.9675 Å, b = 7.9675 Å, c = 7.0923 Å
α = 115.82°, β = 115.82°, γ = 29.65°
Last column: nearest neighbours and their distance in Å.
Sites, in units of the cell vectors:
1 Ho 0.1029 0.1029 0.2535  1 Cu 2.84, 3 Te 3.09-3.13
2 Ho 0.3944 0.3944 0.2067  2 Cu 2.84, 3 Te 3.08-3.11
3 Ho 0.6056 0.6056 0.7933  2 Cu 2.84, 3 Te 3.08-3.11
4 Ho 0.8971 0.8971 0.7465  1 Cu 2.84, 3 Te 3.09-3.13
5 Cu 0.0000 0.0000 0.5000  6 Ho 2.84
6 Te 0.2446 0.2446 0.7376  6 Ho 3.08-3.13, 1 Cu 3.36
7 Te 0.7554 0.7554 0.2624  6 Ho 3.08-3.13, 1 Cu 3.36


Compound: Ho7Cu3Te12
Source: Alexandria via LeMat-Bulk
Functional: GGA-PBE
Structure: optimized geometry

Output
Size of the total moment, μB per atom: 0.0000
Symmetry: No. 1
Raw formation energy, kcal/mol of atoms: -25.7

a = 7.5005 Å, b = 7.5028 Å, c = 14.2228 Å
α = 80.04°, β = 85.09°, γ = 60.01°
Last column: nearest neighbours and their distance in Å.
Sites, in units of the cell vectors:
1 Ho 0.0000 0.0000 0.0000  6 Te 3.05-3.12
2 Ho 0.0022 0.4133 0.7439  6 Te 3.03-3.09
3 Ho 0.0075 0.8200 0.4922  6 Te 3.06-3.11, 1 Cu 3.32
4 Ho 0.3320 0.1697 0.4923  6 Te 3.06-3.12, 1 Cu 3.32
5 Ho 0.3400 0.3171 0.9997  6 Te 3.05-3.12
6 Ho 0.6694 0.6573 0.9999  6 Te 3.06-3.15
7 Ho 0.6751 0.4944 0.4918  6 Te 3.02-3.11, 1 Cu 3.38
8 Cu 0.3361 0.5474 0.3323  4 Te 2.57-2.82
9 Cu 0.3378 0.9362 0.1727  4 Te 2.59-2.70
10 Cu 0.6726 0.2652 0.1728  4 Te 2.59-2.70
11 Te 0.0038 0.2903 0.1316  2 Cu 2.59-2.60
12 Te 0.0048 0.1179 0.6207  4 Ho 3.05-3.11
13 Te 0.0052 0.6976 0.8744  4 Ho 3.07-3.11
14 Te 0.3279 0.6146 0.1307  3 Cu 2.62-2.82
15 Te 0.3348 0.0321 0.8721  4 Ho 3.05-3.09
16 Te 0.3383 0.8758 0.3652  2 Cu 2.59-2.70
17 Te 0.3403 0.4517 0.6222  4 Ho 3.05-3.11
18 Te 0.6686 0.3691 0.8720  4 Ho 3.05-3.09
19 Te 0.6703 0.7870 0.6206  4 Ho 3.03-3.12
20 Te 0.6771 0.1966 0.3652  2 Cu 2.60-2.70
21 Te 0.6795 0.9393 0.1299  2 Cu 2.59-2.60
22 Te 0.9984 0.5372 0.3636  1 Cu 2.57


size of the total moment of number 3 (Ho4CuTe2)?
0.0000 μB per atom


Copy entry 3 word for word.
Compound: Ho4CuTe2
Source: Alexandria via LeMat-Bulk
Functional: GGA-PBE
Structure: optimized geometry

Output
Size of the total moment, μB per atom: 0.0000
Symmetry: No. 12
Raw formation energy, kcal/mol of atoms: -16.5

a = 7.9675 Å, b = 7.9675 Å, c = 7.0923 Å
α = 115.82°, β = 115.82°, γ = 29.65°
Last column: nearest neighbours and their distance in Å.
Sites, in units of the cell vectors:
1 Ho 0.1029 0.1029 0.2535  1 Cu 2.84, 3 Te 3.09-3.13
2 Ho 0.3944 0.3944 0.2067  2 Cu 2.84, 3 Te 3.08-3.11
3 Ho 0.6056 0.6056 0.7933  2 Cu 2.84, 3 Te 3.08-3.11
4 Ho 0.8971 0.8971 0.7465  1 Cu 2.84, 3 Te 3.09-3.13
5 Cu 0.0000 0.0000 0.5000  6 Ho 2.84
6 Te 0.2446 0.2446 0.7376  6 Ho 3.08-3.13, 1 Cu 3.36
7 Te 0.7554 0.7554 0.2624  6 Ho 3.08-3.13, 1 Cu 3.36


Look up the raw formation energy of the third one.
-16.5 kcal/mol of atoms